The following is a DFT calculation (PBE-GGA) of a relaxed Ba4CoN4 crystal.

Geometry as CIF:
```
data_Ba4CoN4
_cell_length_a 7.323
_cell_length_b 6.786
_cell_length_c 9.688
_cell_angle_alpha 74.49
_cell_angle_beta 67.83
_cell_angle_gamma 68.36
_symmetry_space_group_name_H-M 'P 1'
_symmetry_Int_Tables_number 1
loop_
_symmetry_equiv_pos_as_xyz
'x,y,z'
loop_
_atom_site_label
_atom_site_type_symbol
_atom_site_fract_x
_atom_site_fract_y
_atom_site_fract_z
Co1 Co 0.817 0.816 0.786
Co2 Co 0.183 0.184 0.214
Ba1 Ba 0.810 0.608 0.157
Ba2 Ba 0.190 0.392 0.843
Ba3 Ba 0.679 0.174 0.030
Ba4 Ba 0.321 0.826 0.970
Ba5 Ba 0.772 0.437 0.650
Ba6 Ba 0.228 0.563 0.350
Ba7 Ba 0.243 0.941 0.551
Ba8 Ba 0.757 0.059 0.449
N1 N 0.976 0.728 0.603
N2 N 0.024 0.272 0.397
N3 N 0.991 0.846 0.863
N4 N 0.009 0.154 0.137
N5 N 0.743 0.581 0.900
N6 N 0.257 0.419 0.100
N7 N 0.389 0.948 0.231
N8 N 0.611 0.052 0.769
```

Calculated values
total magnetization = 0.00 μB/f.u.
DFT total energy = -5.626 eV per atom
ΔE_f (raw) = -27.2 kJ/mol of atoms